Material: LiDyEr2In4
Method: DFT, PBE
State: relaxed

Results
As for the crystal system: trigonal. Its raw total energy is -3.73 eV per atom.

abc: 5.1788 5.1788 25.8963
angles: 90.00 90.00 120.00
Space group R-3m (No. 166, hexagonal axes)
One atom of each set of equivalent atoms:
Li: 0.0000 0.0000 0.0000
Dy: 0.0000 0.0000 0.5000
Er: 0.0000 0.0000 0.2532
In: 0.0000 0.0000 0.1224
In: 0.0000 0.0000 0.3731


Material: Na3LiH4
Method: DFT, PBE
State: relaxed

Results
As for the crystal system: orthorhombic. Its raw total energy is -2.64 eV per atom.

abc: 6.5436 9.2272 3.2730
angles: 90.00 90.00 90.00
Space group Cmmm (No. 65)
One atom of each set of equivalent atoms:
Na: 0.0000 0.0000 0.0000
Na: 0.2500 0.2500 0.5000
Li: 0.0000 0.5000 0.0000
H: 0.0000 0.2611 0.0000
H: 0.2313 0.5000 0.5000


Material: PaBeFe2
Method: DFT, PBE
State: relaxed

Results
As for the crystal system: trigonal. Its raw total energy is -7.71 eV per atom. Its energy above the most stable polymorph in this dataset is 0 meV per atom.

abc: 4.1146 4.1146 12.5003
angles: 90.00 90.00 120.00
Space group R-3m (No. 166, hexagonal axes)
One atom of each set of equivalent atoms:
Pa: 0.0000 0.0000 0.0000
Be: 0.0000 0.0000 0.5000
Fe: 0.0000 0.0000 0.1793